1.
CrIn | GGA-PBE | optimized geometry

a b c (Å): 3.036 2.986 7.870
angles (deg): 90.00 101.05 90.00
Sites, in units of the cell vectors:
Cr: 0.215 0.250 0.430
Cr: 0.785 0.750 0.570
In: 0.409 0.250 0.819
In: 0.591 0.750 0.181

- Fermi-level density of states: 1.02 states/eV per atom
- ΔH_f (0 K): 0.264 eV/atom



2.
Be2HRh2 | GGA-PBE | optimized geometry

a b c (Å): 5.361 5.361 3.504
angles (deg): 90.00 90.00 90.00
Sites, in units of the cell vectors:
Be: 0.139 0.361 0.000
Be: 0.361 0.861 0.000
Be: 0.639 0.139 0.000
Be: 0.861 0.639 0.000
H: 0.000 0.000 0.500
H: 0.500 0.500 0.500
Rh: 0.176 0.676 0.500
Rh: 0.324 0.176 0.500
Rh: 0.676 0.824 0.500
Rh: 0.824 0.324 0.500

- Fermi-level density of states: 0.58 states/eV per atom
- Energy: -0.19737 hartree per atom



3.
Sm2Pu2In3 | GGA-PBE | optimized geometry

a b c (Å): 11.751 11.751 3.402
angles (deg): 90.00 90.00 156.40
Sites, in units of the cell vectors:
Sm: 0.074 0.926 0.000
Sm: 0.926 0.074 0.000
Pu: 0.215 0.785 0.000
Pu: 0.785 0.215 0.000
In: 0.350 0.650 0.500
In: 0.500 0.500 0.500
In: 0.650 0.350 0.500

- Fermi-level density of states: 2.07 states/eV per atom
- ΔH_f (0 K): -0.243 eV/atom



4.
MgPdN3 | GGA-PBE | optimized geometry

a b c (Å): 3.873 3.873 3.873
angles (deg): 90.00 90.00 90.00
Sites, in units of the cell vectors:
Mg: 0.000 0.000 0.000
Pd: 0.500 0.500 0.500
N: 0.000 0.000 0.500
N: 0.000 0.500 0.000
N: 0.500 0.000 0.000

- Fermi-level density of states: 0.49 states/eV per atom
- E_form (uncorrected): 46.41 kcal/mol of atoms



5.
CdIrBr2 | GGA-PBE | optimized geometry

a b c (Å): 7.624 7.624 7.624
angles (deg): 154.69 143.46 44.97
Sites, in units of the cell vectors:
Cd: 0.000 0.000 0.000
Ir: 0.500 0.500 0.000
Br: 0.360 0.860 0.500
Br: 0.640 0.140 0.500

- Fermi-level density of states: 0.57 states/eV per atom
- E_form (uncorrected): 2.63 kcal/mol of atoms
- Excess energy over the best structure of this formula in the dataset: 0.156 eV per atom



6.
Sm8Te4As3Pd | GGA-PBE | optimized geometry

a b c (Å): 8.732 8.732 8.732
angles (deg): 59.06 59.06 59.06
Sites, in units of the cell vectors:
Sm: 0.240 0.240 0.240
Sm: 0.241 0.741 0.741
Sm: 0.259 0.259 0.759
Sm: 0.259 0.759 0.259
Sm: 0.741 0.241 0.741
Sm: 0.741 0.741 0.241
Sm: 0.759 0.259 0.259
Sm: 0.760 0.760 0.760
Te: 0.000 0.000 0.000
Te: 0.000 0.500 0.500
Te: 0.500 0.000 0.500
Te: 0.500 0.500 0.000
As: 0.000 0.000 0.500
As: 0.000 0.500 0.000
As: 0.500 0.000 0.000
Pd: 0.500 0.500 0.500

- Fermi-level density of states: 0.56 states/eV per atom
- E_form (uncorrected): -32.14 kcal/mol of atoms



7.
BaPm2Au6 | GGA-PBE | optimized geometry

a b c (Å): 8.603 8.603 8.603
angles (deg): 153.30 125.05 62.11
Sites, in units of the cell vectors:
Ba: 0.000 0.000 0.000
Pm: 0.358 0.858 0.500
Pm: 0.642 0.142 0.500
Au: 0.021 0.321 0.701
Au: 0.326 0.500 0.826
Au: 0.380 0.679 0.701
Au: 0.620 0.321 0.299
Au: 0.674 0.500 0.174
Au: 0.979 0.679 0.299

- Fermi-level density of states: 0.63 states/eV per atom
- ΔH_f (0 K): -0.692 eV/atom



8.
MnSnAu | GGA-PBE | optimized geometry

a b c (Å): 3.113 4.419 4.525
angles (deg): 90.00 90.83 90.00
Sites, in units of the cell vectors:
Mn: 0.000 0.000 0.000
Sn: 0.500 0.000 0.500
Au: 0.500 0.500 0.000

- Fermi-level density of states: 0.65 states/eV per atom
- ΔH_f (0 K): 0.070 eV/atom



9.
SrLiAu3 | GGA-PBE | optimized geometry

a b c (Å): 4.822 4.822 4.822
angles (deg): 90.00 90.00 90.00
Sites, in units of the cell vectors:
Sr: 0.000 0.000 0.000
Li: 0.500 0.500 0.500
Au: 0.000 0.500 0.500
Au: 0.500 0.000 0.500
Au: 0.500 0.500 0.000

- Fermi-level density of states: 0.21 states/eV per atom
- ΔH_f (0 K): -0.456 eV/atom
- Excess energy over the best structure of this formula in the dataset: 0.108 eV per atom



10.
TeAs2 | GGA-PBE | optimized geometry

a b c (Å): 5.119 5.119 5.926
angles (deg): 90.00 90.00 120.00
Sites, in units of the cell vectors:
Te: 0.333 0.667 0.250
Te: 0.667 0.333 0.750
As: 0.000 0.000 0.000
As: 0.000 0.000 0.500
As: 0.333 0.667 0.750
As: 0.667 0.333 0.250

- Fermi-level density of states: 0.41 states/eV per atom
- E_form (uncorrected): 10.74 kcal/mol of atoms



11.
PmZnHgPb | GGA-PBE | optimized geometry

a b c (Å): 5.243 5.243 5.243
angles (deg): 60.00 60.00 60.00
Sites, in units of the cell vectors:
Pm: 0.000 0.000 0.000
Zn: 0.250 0.250 0.250
Hg: 0.750 0.750 0.750
Pb: 0.500 0.500 0.500

- Fermi-level density of states: 0.71 states/eV per atom
- ΔH_f (0 K): -0.220 eV/atom



12.
Zr2WC | GGA-PBE | optimized geometry

a b c (Å): 5.455 5.455 5.455
angles (deg): 148.31 127.38 62.75
Sites, in units of the cell vectors:
Zr: 0.000 0.000 0.000
Zr: 0.674 0.174 0.500
W: 0.342 0.342 0.000
C: 0.187 0.687 0.500

- Fermi-level density of states: 0.95 states/eV per atom
- ΔH_f (0 K): 0.096 eV/atom



13.
GdAgAu4 | GGA-PBE | optimized geometry

a b c (Å): 5.557 5.557 5.557
angles (deg): 60.00 60.00 60.00
Sites, in units of the cell vectors:
Gd: 0.000 0.000 0.000
Ag: 0.750 0.750 0.750
Au: 0.375 0.375 0.375
Au: 0.375 0.375 0.874
Au: 0.375 0.874 0.375
Au: 0.874 0.375 0.375

- Fermi-level density of states: 1.08 states/eV per atom
- ΔH_f (0 K): -0.402 eV/atom



14.
Be2AlAs | GGA-PBE | optimized geometry

a b c (Å): 2.894 3.631 5.259
angles (deg): 90.00 91.27 90.00
Sites, in units of the cell vectors:
Be: 0.002 0.000 0.206
Be: 0.998 0.000 0.794
Al: 0.500 0.500 0.000
As: 0.000 0.500 0.500

- Fermi-level density of states: 0.36 states/eV per atom
- ΔH_f (0 K): 0.301 eV/atom
- Excess energy over the best structure of this formula in the dataset: 0.083 eV per atom



15.
MgCd2Pd5Pt | GGA-PBE | optimized geometry

a b c (Å): 8.668 8.668 8.668
angles (deg): 134.50 134.50 66.31
Sites, in units of the cell vectors:
Mg: 0.250 0.750 0.500
Mg: 0.750 0.250 0.500
Cd: 0.135 0.635 0.770
Cd: 0.365 0.135 0.500
Cd: 0.635 0.865 0.500
Cd: 0.865 0.365 0.230
Pd: 0.000 0.000 0.000
Pd: 0.072 0.118 0.500
Pd: 0.118 0.618 0.046
Pd: 0.382 0.428 0.500
Pd: 0.428 0.928 0.046
Pd: 0.500 0.500 0.000
Pd: 0.572 0.072 0.954
Pd: 0.618 0.572 0.500
Pd: 0.882 0.382 0.954
Pd: 0.928 0.882 0.500
Pt: 0.250 0.250 0.000
Pt: 0.750 0.750 0.000

- Fermi-level density of states: 0.59 states/eV per atom
- ΔH_f (0 K): -0.045 eV/atom



16.
BaBPdI | GGA-PBE | optimized geometry

a b c (Å): 5.805 5.805 5.209
angles (deg): 109.90 109.90 41.17
Sites, in units of the cell vectors:
Ba: 0.000 0.000 0.000
B: 0.192 0.192 0.664
Pd: 0.650 0.650 0.640
I: 0.365 0.365 0.404

- Fermi-level density of states: 0.49 states/eV per atom
- E_form (uncorrected): -3.92 kcal/mol of atoms
- Excess energy over the best structure of this formula in the dataset: 0.007 eV per atom



17.
Dy3RuPt2 | GGA-PBE | optimized geometry

a b c (Å): 7.668 7.668 7.028
angles (deg): 90.00 90.00 143.05
Sites, in units of the cell vectors:
Dy: 0.000 0.000 0.247
Dy: 0.000 0.000 0.753
Dy: 0.331 0.669 0.246
Dy: 0.331 0.669 0.754
Dy: 0.669 0.331 0.246
Dy: 0.669 0.331 0.754
Ru: 0.167 0.833 0.000
Ru: 0.833 0.167 0.000
Pt: 0.165 0.835 0.500
Pt: 0.500 0.500 0.000
Pt: 0.500 0.500 0.500
Pt: 0.835 0.165 0.500

- Fermi-level density of states: 0.57 states/eV per atom
- ΔH_f (0 K): -0.953 eV/atom



18.
PrZnGeO | GGA-PBE | optimized geometry

a b c (Å): 4.119 4.119 9.040
angles (deg): 90.00 90.00 90.00
Sites, in units of the cell vectors:
Pr: 0.250 0.250 0.131
Pr: 0.750 0.750 0.869
Zn: 0.250 0.750 0.500
Zn: 0.750 0.250 0.500
Ge: 0.250 0.250 0.671
Ge: 0.750 0.750 0.329
O: 0.250 0.750 0.000
O: 0.750 0.250 0.000

- Fermi-level density of states: 0.60 states/eV per atom
- E_form (uncorrected): -34.66 kcal/mol of atoms



19.
BaTi2S | GGA-PBE | optimized geometry

a b c (Å): 9.789 9.789 9.789
angles (deg): 152.17 152.17 39.76
Sites, in units of the cell vectors:
Ba: 0.375 0.625 0.750
Ba: 0.625 0.375 0.250
Ti: 0.000 0.000 0.000
Ti: 0.000 0.000 0.500
Ti: 0.000 0.500 0.000
Ti: 0.500 0.000 0.500
S: 0.125 0.875 0.250
S: 0.875 0.125 0.750

- Fermi-level density of states: 0.99 states/eV per atom
- E_form (uncorrected): -3.14 kcal/mol of atoms



20.
Pm6DyY2 | GGA-PBE | optimized geometry

a b c (Å): 8.953 8.953 8.953
angles (deg): 142.99 133.63 60.76
Sites, in units of the cell vectors:
Pm: 0.118 0.389 0.729
Pm: 0.213 0.213 0.000
Pm: 0.340 0.611 0.729
Pm: 0.660 0.389 0.271
Pm: 0.787 0.787 0.000
Pm: 0.882 0.611 0.271
Dy: 0.000 0.000 0.000
Y: 0.365 0.865 0.500
Y: 0.635 0.135 0.500

- Fermi-level density of states: 1.77 states/eV per atom
- ΔH_f (0 K): 0.155 eV/atom
- Excess energy over the best structure of this formula in the dataset: 0.000 eV per atom



| no. | total moment (μB per cell) |
| --- | --- |
| 1 | 0.00 |
| 2 | 0.00 |
| 3 | 12.15 |
| 4 | 1.14 |
| 5 | 0.00 |
| 6 | 0.00 |
| 7 | 0.00 |
| 8 | 3.39 |
| 9 | 0.00 |
| 10 | 0.00 |
| 11 | 0.00 |
| 12 | 0.00 |
| 13 | 7.25 |
| 14 | 0.00 |
| 15 | 0.00 |
| 16 | 0.00 |
| 17 | 0.00 |
| 18 | 0.00 |
| 19 | 0.00 |
| 20 | 0.00 |